No. 1
Entry from the Alexandria database: a relaxed structure of ThHSe2 (GGA-PBE).

Properties
The relative energy among the computed polymorphs is 0.000 eV/atom.

Structure (CIF):
```
data_ThHSe2
_space_group_name_H-M_alt 'P -1'
_space_group_IT_number 2
_cell_length_a 4.081
_cell_length_b 5.209
_cell_length_c 8.588
_cell_angle_alpha 80.28
_cell_angle_beta 85.00
_cell_angle_gamma 69.79
loop_
_space_group_symop_operation_xyz
'x,y,z'
'-x,-y,-z'
loop_
_atom_site_label
_atom_site_fract_x
_atom_site_fract_y
_atom_site_fract_z
Th1 0.177 0.252 0.271
H1 0.395 0.609 0.679
Se1 0.149 0.189 0.626
Se2 0.263 0.749 0.005
```

=====

No. 2
Entry from the Alexandria database: a relaxed structure of ThHSe (GGA-PBE).

Properties
As for the total energy: -0.2141 hartree per atom.

Structure (CIF):
```
data_ThHSe
_space_group_name_H-M_alt 'P 1 21/m 1'
_space_group_IT_number 11
_cell_length_a 4.150
_cell_length_b 5.902
_cell_length_c 5.641
_cell_angle_alpha 90.00
_cell_angle_beta 111.71
_cell_angle_gamma 90.00
loop_
_space_group_symop_operation_xyz
'x,y,z'
'-x,-y,-z'
'-x,y+1/2,-z'
'x,-y+1/2,z'
loop_
_atom_site_label
_atom_site_fract_x
_atom_site_fract_y
_atom_site_fract_z
Th1 0.150 0.250 0.301
H1 0.422 0.750 0.842
Se1 0.137 0.750 0.276
```

=====

No. 3
Entry from the Alexandria database: a relaxed structure of ThHSe2 (GGA-PBE).

Properties
The relative energy among the computed polymorphs is 0.213 eV/atom.

Structure (CIF):
```
data_ThHSe2
_space_group_name_H-M_alt 'P -1'
_space_group_IT_number 2
_cell_length_a 3.984
_cell_length_b 4.072
_cell_length_c 5.495
_cell_angle_alpha 111.69
_cell_angle_beta 111.02
_cell_angle_gamma 90.04
loop_
_space_group_symop_operation_xyz
'x,y,z'
'-x,-y,-z'
loop_
_atom_site_label
_atom_site_fract_x
_atom_site_fract_y
_atom_site_fract_z
Th1 0.000 0.000 0.000
H1 0.000 0.500 0.000
Se1 0.341 0.348 0.682
```